Entry 1:
The following is a GGA-PBE calculation of a geometry-optimized PrSmY2Tm structure, from Alexandria.

Values from the calculation:
Total magnetization ... 0.00 μB/f.u.
Uncorrected energy ... -4.99 eV per atom
DFT formation energy ... 389 meV/atom
Space-group type ... Cmcm (63)

Lattice parameters (Å, degrees): 7.220 8.477 7.161 126.29 90.00 90.00
Fractional coordinates of all 10 atoms:
Pr 0.750 0.269 0.538
Pr 0.250 0.731 0.462
Tm 0.750 0.722 0.444
Tm 0.250 0.278 0.556
Sm 0.250 0.998 0.996
Sm 0.750 0.002 0.004
Y 0.500 0.312 0.000
Y 0.000 0.688 0.000
Y 0.500 0.688 0.000
Y 0.000 0.312 0.000

=====

Entry 2:
The following is a GGA-PBE calculation of a geometry-optimized PrSmY2Tm2 structure, from Alexandria.

Values from the calculation:
Total magnetization ... 0.00 μB/f.u.
Uncorrected energy ... -4.96 eV per atom
DFT formation energy ... 271 meV/atom
Space-group type ... Pnnm (58)

Lattice parameters (Å, degrees): 3.420 6.529 17.960 90.00 90.00 90.00
Fractional coordinates of all 12 atoms:
Sm 0.500 0.500 0.000
Sm 0.000 0.000 0.500
Y 0.000 0.220 0.811
Y 0.500 0.720 0.689
Y 0.000 0.780 0.189
Y 0.500 0.280 0.311
Tm 0.500 0.782 0.352
Tm 0.000 0.718 0.852
Tm 0.000 0.282 0.148
Tm 0.500 0.218 0.648
Pr 0.000 0.000 0.000
Pr 0.500 0.500 0.500

=====

Entry 3:
The following is a GGA-PBE calculation of a geometry-optimized PrSmYTm structure, from Alexandria.

Values from the calculation:
Total magnetization ... 0.00 μB/f.u.
Uncorrected energy ... -5.00 eV per atom
Excess energy over the best structure of this formula in the dataset ... 6 meV per atom
DFT formation energy ... 109 meV/atom
Space-group type ... Cm (8)

Lattice parameters (Å, degrees): 3.807 5.882 6.922 115.15 73.67 90.00
Fractional coordinates of all 4 atoms:
Pr 0.678 0.401 0.802
Tm 0.911 0.646 0.292
Sm 0.412 0.134 0.269
Y 0.185 0.883 0.767

=====

Entry 4:
The following is a GGA-PBE calculation of a geometry-optimized Pr6Sm2YTm structure, from Alexandria.

Values from the calculation:
Total magnetization ... 0.00 μB/f.u.
Uncorrected energy ... -4.79 eV per atom
DFT formation energy ... 112 meV/atom
Space-group type ... C2/c (15)

Lattice parameters (Å, degrees): 9.774 9.068 9.068 118.28 93.91 93.91
Fractional coordinates of all 20 atoms:
Sm 0.544 0.199 0.301
Sm 0.044 0.301 0.199
Sm 0.956 0.699 0.801
Sm 0.456 0.801 0.699
Pr 0.191 0.568 0.010
Pr 0.309 0.990 0.432
Pr 0.117 0.710 0.497
Pr 0.883 0.290 0.503
Pr 0.447 0.239 0.878
Pr 0.617 0.497 0.710
Pr 0.553 0.761 0.122
Pr 0.809 0.432 0.990
Pr 0.691 0.010 0.568
Pr 0.053 0.122 0.761
Pr 0.947 0.878 0.239
Pr 0.383 0.503 0.290
Tm 0.250 0.412 0.588
Tm 0.750 0.588 0.412
Y 0.250 0.976 0.024
Y 0.750 0.024 0.976

=====

Entry 5:
The following is a GGA-PBE calculation of a geometry-optimized Pr2Sm6YTm structure, from Alexandria.

Values from the calculation:
Total magnetization ... 0.00 μB/f.u.
Uncorrected energy ... -4.77 eV per atom
DFT formation energy ... 114 meV/atom
Space-group type ... C2/c (15)

Lattice parameters (Å, degrees): 9.796 8.945 8.945 118.40 94.25 94.25
Fractional coordinates of all 20 atoms:
Sm 0.310 0.982 0.425
Sm 0.810 0.425 0.982
Sm 0.381 0.500 0.290
Sm 0.944 0.873 0.249
Sm 0.056 0.127 0.751
Sm 0.619 0.500 0.710
Sm 0.444 0.249 0.873
Sm 0.556 0.751 0.127
Sm 0.190 0.575 0.018
Sm 0.119 0.710 0.500
Sm 0.690 0.018 0.575
Sm 0.881 0.290 0.500
Pr 0.458 0.804 0.699
Pr 0.542 0.196 0.301
Pr 0.958 0.699 0.804
Pr 0.042 0.301 0.196
Tm 0.250 0.408 0.592
Tm 0.750 0.592 0.408
Y 0.750 0.019 0.981
Y 0.250 0.981 0.019

=====

Entry 6:
The following is a GGA-PBE calculation of a geometry-optimized Pr2Sm6Y3Tm structure, from Alexandria.

Values from the calculation:
Total magnetization ... 0.00 μB/f.u.
Uncorrected energy ... -5.13 eV per atom
DFT formation energy ... 15 meV/atom
Space-group type ... C2/m (12)

Lattice parameters (Å, degrees): 6.267 6.267 11.978 94.99 94.99 119.98
Fractional coordinates of all 12 atoms:
Sm 0.752 0.752 0.252
Sm 0.916 0.584 0.748
Sm 0.584 0.916 0.748
Sm 0.084 0.416 0.252
Sm 0.248 0.248 0.748
Sm 0.416 0.084 0.252
Y 0.500 0.500 0.500
Y 0.834 0.166 0.500
Y 0.166 0.834 0.500
Tm 0.000 0.000 0.000
Pr 0.333 0.667 0.000
Pr 0.667 0.333 0.000

=====

Entry 7:
The following is a GGA-PBE calculation of a geometry-optimized PrSmTmZn structure, from Alexandria.

Values from the calculation:
Total magnetization ... 0.00 μB/f.u.
Uncorrected energy ... -3.80 eV per atom
Excess energy over the best structure of this formula in the dataset ... 173 meV per atom
DFT formation energy ... 16 meV/atom
Space-group type ... F-43m (216)

Lattice parameters (Å, degrees): 5.420 5.420 5.420 60.00 60.00 60.00
Fractional coordinates of all 4 atoms:
Sm 0.250 0.250 0.250
Zn 0.000 0.000 0.000
Pr 0.750 0.750 0.750
Tm 0.500 0.500 0.500

=====

Entry 8:
The following is a GGA-PBE calculation of a geometry-optimized PrSmTmZn structure, from Alexandria.

Values from the calculation:
Total magnetization ... 0.00 μB/f.u.
Uncorrected energy ... -3.97 eV per atom
Excess energy over the best structure of this formula in the dataset ... 0 meV per atom
DFT formation energy ... -157 meV/atom
Space-group type ... P4mm (99)

Lattice parameters (Å, degrees): 3.609 3.609 8.762 90.00 90.00 90.00
Fractional coordinates of all 4 atoms:
Pr 0.000 0.000 0.080
Sm 0.500 0.500 0.775
Tm 0.500 0.500 0.371
Zn 0.000 0.000 0.559

=====

Entry 9:
The following is a GGA-PBE calculation of a geometry-optimized PrSm2V structure, from Alexandria.

Values from the calculation:
Total magnetization ... 3.25 μB/f.u.
Uncorrected energy ... -5.20 eV per atom
DFT formation energy ... 633 meV/atom
Space-group type ... R-3m (166)

Lattice parameters (Å, degrees): 3.446 3.446 11.907 81.68 81.68 60.00
Fractional coordinates of all 4 atoms:
V 0.000 0.000 0.000
Sm 0.920 0.920 0.240
Sm 0.080 0.080 0.760
Pr 0.500 0.500 0.500

=====

Entry 10:
The following is a GGA-PBE calculation of a geometry-optimized Pr6SmY structure, from Alexandria.

Values from the calculation:
Total magnetization ... 0.00 μB/f.u.
Uncorrected energy ... -4.97 eV per atom
DFT formation energy ... 14 meV/atom
Space-group type ... Fmmm (69)

Lattice parameters (Å, degrees): 6.383 6.383 8.255 105.10 105.10 109.04
Fractional coordinates of all 8 atoms:
Y 0.000 0.000 0.000
Pr 0.250 0.250 0.500
Pr 0.376 0.876 0.753
Pr 0.124 0.624 0.247
Pr 0.876 0.376 0.753
Pr 0.624 0.124 0.247
Pr 0.750 0.750 0.500
Sm 0.500 0.500 0.000

=====

Entry 11:
The following is a GGA-PBE calculation of a geometry-optimized PrSm2Y8 structure, from Alexandria.

Values from the calculation:
Total magnetization ... 0.00 μB/f.u.
Uncorrected energy ... -5.85 eV per atom
Excess energy over the best structure of this formula in the dataset ... 0 meV per atom
DFT formation energy ... 146 meV/atom
Space-group type ... C2/m (12)

Lattice parameters (Å, degrees): 5.602 10.230 10.230 40.33 92.78 92.78
Fractional coordinates of all 11 atoms:
Y 0.237 0.547 0.547
Y 0.767 0.813 0.813
Y 0.731 0.398 0.866
Y 0.763 0.453 0.453
Y 0.269 0.134 0.602
Y 0.731 0.866 0.398
Y 0.269 0.602 0.134
Y 0.233 0.187 0.187
Sm 0.751 0.284 0.284
Sm 0.249 0.716 0.716
Pr 0.000 0.000 0.000

=====

Entry 12:
The following is a GGA-PBE calculation of a geometry-optimized PrSm2Y5 structure, from Alexandria.

Values from the calculation:
Total magnetization ... 0.00 μB/f.u.
Uncorrected energy ... -5.66 eV per atom
Excess energy over the best structure of this formula in the dataset ... 138 meV per atom
DFT formation energy ... 155 meV/atom
Space-group type ... C2/c (15)

Lattice parameters (Å, degrees): 9.993 6.542 11.003 119.58 117.01 90.00
Fractional coordinates of all 16 atoms:
Y 0.058 0.250 0.000
Y 0.106 0.371 0.392
Y 0.942 0.750 0.000
Y 0.714 0.129 0.608
Y 0.688 0.055 0.197
Y 0.312 0.945 0.803
Y 0.508 0.555 0.197
Y 0.286 0.871 0.392
Y 0.894 0.629 0.608
Y 0.492 0.445 0.803
Pr 0.500 0.500 0.500
Pr 0.000 0.000 0.500
Sm 0.823 0.536 0.153
Sm 0.331 0.036 0.153
Sm 0.669 0.964 0.847
Sm 0.177 0.464 0.847

=====

Q: Which formula does entry 7 have?
A: PrSmTmZn

=====

Q: The highest DFT formation energy belongs to which entry?
A: PrSm2V

=====

What did the second record say?
The following is a GGA-PBE calculation of a geometry-optimized PrSmY2Tm2 structure, from Alexandria.

Values from the calculation:
Total magnetization ... 0.00 μB/f.u.
Uncorrected energy ... -4.96 eV per atom
DFT formation energy ... 271 meV/atom
Space-group type ... Pnnm (58)

Lattice parameters (Å, degrees): 3.420 6.529 17.960 90.00 90.00 90.00
Fractional coordinates of all 12 atoms:
Sm 0.500 0.500 0.000
Sm 0.000 0.000 0.500
Y 0.000 0.220 0.811
Y 0.500 0.720 0.689
Y 0.000 0.780 0.189
Y 0.500 0.280 0.311
Tm 0.500 0.782 0.352
Tm 0.000 0.718 0.852
Tm 0.000 0.282 0.148
Tm 0.500 0.218 0.648
Pr 0.000 0.000 0.000
Pr 0.500 0.500 0.500